Entry from Alexandria via LeMat-Bulk: crystalline MnCo3 at its relaxed geometry (PBE).

a = 3.5182 Å, b = 3.5182 Å, c = 14.0486 Å
α = 90.00°, β = 90.00°, γ = 90.00°
Closest atoms and distances in Å follow each position.
Space group I4/mmm (No. 139)
Symmetry-distinct sites (fractional):
Mn 0.0000 0.0000 0.1253 x4  12 Co 2.48-2.49
Co 0.0000 0.0000 0.3753 x4  8 Co 2.48-2.49, 4 Mn 2.49
Co 0.0000 0.5000 0.0000 x4  8 Co 2.48-2.49, 4 Mn 2.49
Co 0.0000 0.5000 0.2500 x4  4 Mn 2.48, 8 Co 2.49

Properties
uncorrected energy: -7.575 eV per atom
energy relative to the elements: 0.047 eV per atom
total magnetization: 0.17 μB/f.u.